AlAgBr2: relaxed, PBE.

The structure in CIF format:
```
data_AlAgBr2
_chemical_formula_sum 'Al1 Ag1 Br2'
_space_group_name_H-M_alt 'P 1 m 1'
_space_group_IT_number 6
_space_group_name_Hall 'P -2y'
_cell_length_a 5.903
_cell_length_b 3.458
_cell_length_c 6.113
_cell_angle_alpha 90.00
_cell_angle_beta 110.53
_cell_angle_gamma 90.00
loop_
_atom_site_label
_atom_site_fract_x
_atom_site_fract_y
_atom_site_fract_z
_atom_site_occupancy
Al1 0.000 0.000 0.000 1
Ag1 0.735 0.500 0.127 1
Br1 0.055 0.500 0.713 1
Br2 0.403 0.000 0.283 1
```

Computed properties:
**Total magnetization**: 0.00 μB per formula unit
**Calculated total energy**: -11.820 eV/cell
**Energy relative to the elements, uncorrected**: -470 meV per atom
**E above lowest polymorph**: 0.0119 eV per atom